A plane-wave DFT calculation with PBE was carried out for crystalline TaAg at its relaxed geometry.

abc: 4.6739 4.6739 8.1976
angles: 90.00 90.00 120.00
Space group P6_3/mmc (No. 194)
Symmetry-distinct sites (fractional):
Ta  0.0000  0.0000  0.2500 x2
Ta  0.3333  0.6667  0.2500 x2
Ag  0.3333  0.6667  0.5778 x4

V = 155 Å³ per cell
mass density = 12.37 Mg/m³
final energy = -6.4891 eV per atom